[1]
A plane-wave DFT calculation with PBE-GGA was carried out for crystalline RbAcLa2Te4 at its relaxed geometry.

uncorrected formation energy = -1481 meV per atom
final energy = -4.9185 eV/atom
total magnetization = 0.0 μB per formula unit

Geometry as CIF:
```
data_RbAcLa2Te4
_cell_length_a 8.203
_cell_length_b 4.650
_cell_length_c 8.294
_cell_angle_alpha 90.00
_cell_angle_beta 108.46
_cell_angle_gamma 90.00
_space_group_name_H-M_alt 'P 1'
_space_group_IT_number 1
loop_
_space_group_symop_operation_xyz
'x,y,z'
loop_
_atom_site_label
_atom_site_fract_x
_atom_site_fract_y
_atom_site_fract_z
_atom_site_occupancy
Rb1 0.000 0.000 0.000 1
Ac1 0.500 0.500 0.000 1
La1 0.000 0.500 0.500 1
La2 0.500 0.000 0.500 1
Te1 0.251 0.000 0.737 1
Te2 0.266 0.500 0.271 1
Te3 0.734 0.500 0.729 1
Te4 0.749 0.000 0.263 1
```


[2]
A plane-wave DFT calculation with PBE-GGA was carried out for crystalline Tb5YAl2 at its relaxed geometry.

final energy = -4.7259 eV/atom
formation enthalpy at 0 K = -0.71 eV per formula unit
total magnetization = 0.0 μB per formula unit

Geometry as CIF:
```
data_Tb5YAl2
_cell_length_a 8.225
_cell_length_b 8.225
_cell_length_c 8.225
_cell_angle_alpha 154.94
_cell_angle_beta 102.06
_cell_angle_gamma 83.41
_space_group_name_H-M_alt 'P 1'
_space_group_IT_number 1
loop_
_space_group_symop_operation_xyz
'x,y,z'
loop_
_atom_site_label
_atom_site_fract_x
_atom_site_fract_y
_atom_site_fract_z
_atom_site_occupancy
Tb1 0.000 0.000 0.000 1
Tb2 0.083 0.361 0.722 1
Tb3 0.360 0.639 0.722 1
Tb4 0.640 0.361 0.278 1
Tb5 0.917 0.639 0.278 1
Y1 0.500 0.000 0.500 1
Al1 0.268 0.268 0.000 1
Al2 0.732 0.732 0.000 1
```


[3]
A plane-wave DFT calculation with PBE-GGA was carried out for crystalline La2NdPt3 at its relaxed geometry.

final energy = -6.5853 eV/atom
formation enthalpy at 0 K = -6.77 eV per formula unit
total magnetization = 0.0 μB per formula unit

Geometry as CIF:
```
data_La2NdPt3
_cell_length_a 13.990
_cell_length_b 13.334
_cell_length_c 7.354
_cell_angle_alpha 79.37
_cell_angle_beta 69.52
_cell_angle_gamma 31.11
_space_group_name_H-M_alt 'P 1'
_space_group_IT_number 1
loop_
_space_group_symop_operation_xyz
'x,y,z'
loop_
_atom_site_label
_atom_site_fract_x
_atom_site_fract_y
_atom_site_fract_z
_atom_site_occupancy
La1 0.042 0.042 0.208 1
La2 0.125 0.125 0.625 1
La3 0.208 0.208 0.042 1
La4 0.375 0.375 0.875 1
La5 0.625 0.625 0.125 1
La6 0.792 0.792 0.958 1
La7 0.875 0.875 0.375 1
La8 0.958 0.958 0.792 1
Nd1 0.292 0.292 0.458 1
Nd2 0.458 0.458 0.292 1
Nd3 0.542 0.542 0.708 1
Nd4 0.708 0.708 0.542 1
Pt1 0.042 0.541 0.210 1
Pt2 0.126 0.624 0.624 1
Pt3 0.210 0.707 0.042 1
Pt4 0.293 0.790 0.459 1
Pt5 0.376 0.874 0.874 1
Pt6 0.459 0.958 0.293 1
Pt7 0.541 0.042 0.707 1
Pt8 0.624 0.126 0.126 1
Pt9 0.707 0.210 0.541 1
Pt10 0.790 0.293 0.958 1
Pt11 0.874 0.376 0.376 1
Pt12 0.958 0.459 0.790 1
```


[4]
A plane-wave DFT calculation with PBE-GGA was carried out for crystalline CuSi2Sb at its relaxed geometry.

uncorrected formation energy = 434 meV per atom
final energy = -4.3323 eV/atom
total magnetization = 0.0 μB per formula unit

Geometry as CIF:
```
data_CuSi2Sb
_cell_length_a 2.923
_cell_length_b 2.923
_cell_length_c 8.400
_cell_angle_alpha 90.00
_cell_angle_beta 90.00
_cell_angle_gamma 90.00
_space_group_name_H-M_alt 'P 1'
_space_group_IT_number 1
loop_
_space_group_symop_operation_xyz
'x,y,z'
loop_
_atom_site_label
_atom_site_fract_x
_atom_site_fract_y
_atom_site_fract_z
_atom_site_occupancy
Cu1 0.000 0.000 0.000 1
Si1 0.500 0.500 0.187 1
Si2 0.500 0.500 0.813 1
Sb1 0.000 0.000 0.500 1
```